1.
VASP calculation (PBE-GGA) on crystalline LiAgPt2 at its relaxed geometry.

```
4
Lattice="-0.2339 -2.6322 0.7766 3.3211 0.3984 2.3504 -3.2084 1.5453 4.2715" Properties=species:S:1:pos:R:3 pbc="T T T"
Pt -0.0117 0.0056 0.0156
Pt 0.7995 -0.7585 2.5542
Ag -1.6310 0.7856 2.1715
Li -0.8821 0.0515 4.7930
```

- Polymorph energy (0 for the lowest one): 122.5 meV/atom
- Theoretical density: 13.39 g cm⁻³
- Space group: No. 25
- Energy of formation from the pure elements: -0.22 eV/atom
- DFT total energy: -4.436 eV per atom

2.
VASP calculation (PBE-GGA) on crystalline AcPmNdAu at its relaxed geometry.

```
4
Lattice="5.5571 0.0000 0.0000 2.7785 4.8126 0.0000 2.7785 1.6042 4.5373" Properties=species:S:1:pos:R:3 pbc="T T T"
Au 2.7785 1.6042 1.1343
Pm 5.5571 3.2084 2.2687
Nd 0.0000 0.0000 0.0000
Ac 8.3356 4.8126 3.4030
```

- Theoretical density: 9.76 g cm⁻³
- Space group: No. 216
- Energy of formation from the pure elements: -0.04 eV/atom
- DFT total energy: -4.261 eV per atom

3.
VASP calculation (PBE-GGA) on crystalline UHAu at its relaxed geometry.

```
6
Lattice="3.6156 0.0000 0.0000 -1.8078 9.1416 5.5507 0.0000 6.0131 6.6314" Properties=species:S:1:pos:R:3 pbc="T T T"
U 1.8078 6.0929 5.4193
U 0.0000 9.0618 6.7628
H 0.0000 6.8659 6.6310
H 1.8078 8.2888 5.5511
Au 1.8078 10.8397 8.3240
Au 0.0000 4.3150 3.8581
```

- Theoretical density: 14.70 g cm⁻³
- Space group: No. 12
- DFT total energy: -6.012 eV per atom

4.
VASP calculation (PBE-GGA) on crystalline TiHgP2Cl at its relaxed geometry.

```
5
Lattice="-0.4903 -4.0459 -2.5675 3.4862 -2.0516 2.5672 -3.2674 -1.6055 3.1540" Properties=species:S:1:pos:R:3 pbc="T T T"
Hg -0.1357 -3.8515 1.5769
Cl 1.7431 -1.0258 1.2836
Ti 0.0000 0.0000 0.0000
P -1.6337 -0.8028 1.5770
P -0.2451 -2.0229 -1.2837
```

- Polymorph energy (0 for the lowest one): 0.0 meV/atom
- Raw formation energy: -74 meV/atom
- Theoretical density: 5.17 g cm⁻³
- Space group: No. 123
- DFT total energy: -4.247 eV per atom

5.
VASP calculation (PBE-GGA) on crystalline AcHo2Pt9 at its relaxed geometry.

```
12
Lattice="5.2524 0.0000 1.5632 2.3936 4.6753 1.5632 0.0653 0.0399 9.3864" Properties=species:S:1:pos:R:3 pbc="T T T"
Pt 5.1667 3.1593 11.4569
Pt 2.5445 1.5559 1.0560
Pt 1.8863 2.7845 7.9952
Pt 5.8249 1.9308 4.5176
Pt 3.3381 0.4102 7.9952
Pt 4.5537 2.7845 8.7890
Pt 3.1576 1.9308 3.7238
Pt 3.8556 2.3576 6.2564
Pt 4.3731 4.3051 4.5176
Ac 0.0000 0.0000 0.0000
Ho 1.1178 0.6835 5.8499
Ho 6.5935 4.0317 6.6629
```

- Theoretical density: 16.71 g cm⁻³
- Space group: No. 166
- Energy of formation from the pure elements: -0.98 eV/atom
- DFT total energy: -6.611 eV per atom

6.
VASP calculation (PBE-GGA) on crystalline ZrIn2Au at its relaxed geometry.

```
4
Lattice="4.4332 0.0000 0.0000 0.0000 4.4333 0.0000 0.0000 0.0000 4.2806" Properties=species:S:1:pos:R:3 pbc="T T T"
In 0.0000 0.0000 0.0000
In 2.2166 2.2167 0.0000
Au 0.0000 2.2167 2.1403
Zr 2.2166 0.0000 2.1403
```

- Polymorph energy (0 for the lowest one): 0.0 meV/atom
- Theoretical density: 10.22 g cm⁻³
- Space group: No. 123
- Energy of formation from the pure elements: -0.36 eV/atom
- DFT total energy: -4.686 eV per atom

7.
VASP calculation (PBE-GGA) on crystalline BaBe2Hg at its relaxed geometry.

```
4
Lattice="4.3662 0.0000 0.0000 0.0000 4.3344 -0.0177 0.0000 0.0206 5.4004" Properties=species:S:1:pos:R:3 pbc="T T T"
Ba 2.1831 3.2663 4.0370
Be 0.0000 0.0130 1.3504
Be 0.0000 2.1645 1.3409
Hg 2.1831 1.0888 1.3457
```

- Theoretical density: 5.78 g cm⁻³
- Space group: No. 47
- Energy of formation from the pure elements: 0.17 eV/atom
- DFT total energy: -2.248 eV per atom

8.
VASP calculation (PBE-GGA) on crystalline ZnAsAu2 at its relaxed geometry.

```
4
Lattice="2.9104 0.0001 0.0000 -0.1010 2.9086 0.0000 0.0000 0.0000 8.3841" Properties=species:S:1:pos:R:3 pbc="T T T"
As 1.4047 1.4543 6.1717
Au 1.4047 1.4543 2.2679
Au 0.0000 0.0000 0.0446
Zn 0.0000 0.0000 4.0920
```

- Polymorph energy (0 for the lowest one): 63.1 meV/atom
- Theoretical density: 12.50 g cm⁻³
- Space group: No. 35
- Energy of formation from the pure elements: 0.08 eV/atom
- DFT total energy: -3.043 eV per atom

9.
VASP calculation (PBE-GGA) on crystalline KPtCl2 at its relaxed geometry.

```
4
Lattice="-3.2392 -0.7464 6.4846 2.1649 -1.7527 6.7336 1.0069 3.9061 -6.0687" Properties=species:S:1:pos:R:3 pbc="T T T"
Pt -1.3847 0.9550 3.5125
K -0.5372 -1.2496 6.6091
Cl 0.0000 0.0000 0.0000
Cl 1.3173 0.4519 3.6370
```

- Polymorph energy (0 for the lowest one): 490.2 meV/atom
- Raw formation energy: -311 meV/atom
- Theoretical density: 4.96 g cm⁻³
- Space group: No. 119
- DFT total energy: -3.019 eV per atom

10.
VASP calculation (PBE-GGA) on crystalline SrAcGaPt at its relaxed geometry.

```
4
Lattice="-4.2851 0.5671 1.7832 -1.6096 -3.1955 -2.8517 3.1856 -4.1406 2.8418" Properties=species:S:1:pos:R:3 pbc="T T T"
Pt -2.8246 -1.7679 -0.0951
Sr 0.2978 -1.1010 1.0657
Ga 0.9246 -3.4189 3.3093
Ac -2.2062 -4.0546 2.1183
```

- Polymorph energy (0 for the lowest one): 0.0 meV/atom
- Theoretical density: 8.22 g cm⁻³
- Space group: No. 38
- Energy of formation from the pure elements: -0.72 eV/atom
- DFT total energy: -4.439 eV per atom

11.
VASP calculation (PBE-GGA) on crystalline La6Os2PtCl3 at its relaxed geometry.

```
12
Lattice="-3.1407 -6.3631 1.5341 6.0196 0.1965 -4.0536 3.3110 1.4631 7.1455" Properties=species:S:1:pos:R:3 pbc="T T T"
La -0.2124 -2.3228 1.8234
La 3.2318 -4.6511 4.7365
La 2.7557 -4.1495 -0.3536
La 3.4342 -0.5540 4.9796
La 2.9581 -0.0525 -0.1106
La 6.4023 -2.3807 2.8025
Cl 0.0811 -4.5100 4.1514
Cl 6.1089 -0.1936 0.4745
Cl 3.0950 -2.3518 2.3130
Os -0.0845 -4.1746 -0.3302
Os 2.9635 -1.9920 -2.1894
Pt 0.0000 0.0000 0.0000
```

- Raw formation energy: -1144 meV/atom
- Theoretical density: 7.22 g cm⁻³
- Space group: No. 12
- DFT total energy: -6.445 eV per atom

12.
VASP calculation (PBE-GGA) on crystalline ZnH4Br2O2 at its relaxed geometry.

```
27
Lattice="8.4769 0.1372 0.1905 -1.5298 8.3389 -0.1905 -2.2391 -5.2498 6.2721" Properties=species:S:1:pos:R:3 pbc="T T T"
Br -1.5680 4.3079 1.8333
Br 3.9450 0.8288 2.0238
Br 6.2760 -1.0817 4.4388
Br 0.7630 2.3974 4.2483
Br 2.2280 -1.8261 4.6690
Br 2.4801 5.0523 1.6031
H 6.0183 1.1418 0.8208
H -1.3103 2.0844 5.4513
H 4.2604 2.5826 3.6574
H 2.5257 1.5586 5.7667
H -2.3011 0.8755 5.4513
H 0.4476 0.6436 2.6147
H 5.2512 3.7914 3.6574
H 7.0091 2.3507 0.8208
H 2.1823 1.6676 0.5054
H -0.5432 -0.5652 2.6147
H -1.0324 -2.7826 5.7667
H 5.7404 6.0088 0.5054
O 1.3420 1.6373 0.0000
O 0.1946 -0.1595 2.1029
O 4.5134 3.3857 4.1692
O 6.8472 1.4729 0.4034
O 5.6051 6.8387 0.0000
O -2.1391 1.7533 5.8687
Zn 4.1771 -1.2652 3.2313
Zn 0.0000 0.0000 0.0000
Zn 0.5309 4.4914 3.0408
```

- Theoretical density: 2.95 g cm⁻³
- Space group: No. 71
- DFT total energy: -4.079 eV per atom

13.
VASP calculation (PBE-GGA) on crystalline Ca2TiFeTc at its relaxed geometry.

```
5
Lattice="-5.5738 0.2846 -0.5243 0.3608 -0.9146 -4.3322 -0.3855 -5.4782 1.1245" Properties=species:S:1:pos:R:3 pbc="T T T"
Ca -2.7869 0.1423 -0.2622
Ca -0.1927 -2.7391 0.5622
Tc 0.0000 0.0000 0.0000
Ti 0.1804 -0.4573 -2.1661
Fe -2.7993 -3.0541 -1.8660
```

- Theoretical density: 3.35 g cm⁻³
- Space group: No. 123
- Energy of formation from the pure elements: 0.95 eV/atom
- DFT total energy: -5.197 eV per atom

14.
VASP calculation (PBE-GGA) on crystalline Hf5Mo at its relaxed geometry.

```
6
Lattice="4.9911 0.0000 0.0000 0.0000 3.3906 0.0000 0.0000 -1.6953 7.4304" Properties=species:S:1:pos:R:3 pbc="T T T"
Hf 2.4956 0.0000 2.4919
Hf 0.0000 1.6953 2.2328
Hf 2.4956 1.6953 0.0000
Hf 0.0000 0.0000 5.1976
Hf 2.4956 1.6953 4.9385
Mo 0.0000 0.0000 0.0000
```

- Theoretical density: 13.05 g cm⁻³
- Space group: No. 65
- Energy of formation from the pure elements: 0.10 eV/atom
- DFT total energy: -9.996 eV per atom

15.
VASP calculation (PBE-GGA) on crystalline AlSeNF2 at its relaxed geometry.

```
5
Lattice="4.6506 0.0000 0.0000 0.0000 4.6506 0.0000 0.0000 0.0000 3.6646" Properties=species:S:1:pos:R:3 pbc="T T T"
F 0.0000 2.3253 0.0000
F 2.3253 0.0000 0.0000
N 0.0000 0.0000 1.8323
Se 0.0000 0.0000 0.0000
Al 2.3253 2.3253 1.8323
```

- Polymorph energy (0 for the lowest one): 1023.5 meV/atom
- Raw formation energy: -120 meV/atom
- Theoretical density: 3.31 g cm⁻³
- Space group: No. 123
- DFT total energy: -3.980 eV per atom

16.
VASP calculation (PBE-GGA) on crystalline Cs3Y3ThTe8 at its relaxed geometry.

```
15
Lattice="-4.0314 -7.9134 -1.5834 8.2269 1.6170 -3.3292 -0.4139 -1.8526 10.3127" Properties=species:S:1:pos:R:3 pbc="T T T"
Te 4.6731 -5.4744 2.7841
Te 2.6037 -2.3684 5.2076
Te -2.8802 -6.5785 1.8350
Te 6.6619 -1.5704 3.5652
Te 0.5519 -6.3071 4.4181
Te 3.2297 -1.8418 0.9821
Te -0.8914 -2.6746 2.6161
Te 1.1779 -5.7806 0.1926
Cs 4.1135 0.8085 -1.6646
Cs 2.0978 -3.1482 -2.4563
Cs 0.0000 0.0000 0.0000
Y 3.9065 -0.1178 3.4918
Y 1.8908 -4.0745 2.7001
Y -2.2226 -4.8830 4.3647
Th -0.2070 -0.9263 5.1564
```

- Raw formation energy: -1381 meV/atom
- Theoretical density: 4.97 g cm⁻³
- Space group: No. 166
- DFT total energy: -5.014 eV per atom

17.
VASP calculation (PBE-GGA) on crystalline Ti4GaO at its relaxed geometry.

```
12
Lattice="-2.9550 -0.5350 -4.6779 2.6065 -4.9818 -1.0768 -3.8967 -2.7034 3.0750" Properties=species:S:1:pos:R:3 pbc="T T T"
Ga -0.1742 -2.7584 -2.8773
Ga 0.0000 0.0000 0.0000
Ti 0.3963 -5.0828 -2.3078
Ti -4.6415 -3.1374 -0.3719
Ti -2.5905 -5.2769 -2.0086
Ti -3.5901 -2.3353 -2.8207
Ti -1.7589 -4.0549 -4.3667
Ti -2.4862 -4.1653 1.6871
Ti -1.6546 -2.9432 -0.6710
Ti -0.6550 -5.8849 0.1411
O -0.6451 -3.8426 0.9991
O -3.4258 -1.6192 -0.8014
```

- Raw formation energy: -876 meV/atom
- Theoretical density: 5.12 g cm⁻³
- Space group: No. 14
- DFT total energy: -7.470 eV per atom

18.
VASP calculation (PBE-GGA) on crystalline Cr2AgCl at its relaxed geometry.

```
4
Lattice="-1.5000 -0.9991 2.6822 -4.3870 -2.7128 -3.4639 -0.6880 -4.9447 -2.2266" Properties=species:S:1:pos:R:3 pbc="T T T"
Ag -3.2875 -4.3283 -1.5041
Cl -0.3440 -2.4724 -1.1133
Cr -2.9435 -1.8559 -0.3908
Cr 0.0000 0.0000 0.0000
```

- Polymorph energy (0 for the lowest one): 386.2 meV/atom
- Raw formation energy: 557 meV/atom
- Theoretical density: 5.32 g cm⁻³
- Space group: No. 10
- DFT total energy: -5.430 eV per atom

19.
VASP calculation (PBE-GGA) on crystalline Al2CdBr8 at its relaxed geometry.

```
11
Lattice="6.4892 0.2516 0.1909 0.3873 8.2005 -0.2944 0.3873 1.9246 7.9769" Properties=species:S:1:pos:R:3 pbc="T T T"
Al 4.8671 8.2804 6.2828
Al 2.3966 2.0962 1.5905
Br 5.2973 6.2345 0.5291
Br 2.5228 8.2573 6.2653
Br 4.7409 2.1194 1.6081
Br 5.2973 2.1883 5.8618
Br 1.6720 3.8095 2.8905
Br 1.9664 4.1422 7.3443
Br 5.5917 6.5672 4.9829
Br 1.9664 8.1884 2.0116
Cd 0.0000 0.0000 0.0000
```

- Raw formation energy: -1041 meV/atom
- Theoretical density: 3.13 g cm⁻³
- Space group: No. 12
- DFT total energy: -3.022 eV per atom

20.
VASP calculation (PBE-GGA) on crystalline Y2TiP2 at its relaxed geometry.

```
10
Lattice="7.0941 0.0000 0.0000 0.0000 7.0941 0.0000 0.0000 0.0000 3.9686" Properties=species:S:1:pos:R:3 pbc="T T T"
Ti 3.5471 3.5471 0.0000
Ti 0.0000 0.0000 0.0000
P 2.4858 6.0329 0.0000
P 4.6083 1.0612 0.0000
P 1.0612 2.4858 0.0000
P 6.0329 4.6083 0.0000
Y 2.3976 1.1494 1.9843
Y 5.9447 2.3976 1.9843
Y 4.6965 5.9447 1.9843
Y 1.1494 4.6965 1.9843
```

- Theoretical density: 4.78 g cm⁻³
- Space group: No. 127
- Energy of formation from the pure elements: -1.13 eV/atom
- DFT total energy: -7.461 eV per atom